# PBE KLuTlPb, optimized geometry
data_KLuTlPb
_cell_length_a 7.881
_cell_length_b 7.881
_cell_length_c 7.881
_cell_angle_alpha 90.00
_cell_angle_beta 90.00
_cell_angle_gamma 90.00
_space_group_name_H-M_alt 'F -4 3 m'
_space_group_IT_number 216
_space_group_name_Hall 'F -4 2 3'
loop_
_atom_site_label
_atom_site_fract_x
_atom_site_fract_y
_atom_site_fract_z
K1 0.000 0.000 0.000
Lu1 0.000 0.000 0.500
Tl1 0.250 0.250 0.250
Pb1 0.250 0.250 0.750
# - ΔH_f (0 K): -6.0 kJ/mol of atoms
# - DOS at the Fermi energy: 2.84 states/eV/f.u.

=====

# PBE KLuPt4, optimized geometry
data_KLuPt4
_cell_length_a 7.709
_cell_length_b 7.709
_cell_length_c 7.709
_cell_angle_alpha 90.00
_cell_angle_beta 90.00
_cell_angle_gamma 90.00
_space_group_name_H-M_alt 'F -4 3 m'
_space_group_IT_number 216
_space_group_name_Hall 'F -4 2 3'
loop_
_atom_site_label
_atom_site_fract_x
_atom_site_fract_y
_atom_site_fract_z
K1 0.000 0.000 0.000
Lu1 0.250 0.250 0.250
Pt1 0.125 0.125 0.625
# - ΔH_f (0 K): -60.3 kJ/mol of atoms
# - DOS at the Fermi energy: 5.18 states/eV/f.u.

=====

# PBE KLuS2, optimized geometry
data_KLuS2
_cell_length_a 3.9689
_cell_length_b 3.9689
_cell_length_c 22.0550
_cell_angle_alpha 90.00
_cell_angle_beta 90.00
_cell_angle_gamma 120.00
_space_group_name_H-M_alt 'R -3 m'
_space_group_IT_number 166
_space_group_name_Hall '-R 3 2"'
loop_
_atom_site_label
_atom_site_fract_x
_atom_site_fract_y
_atom_site_fract_z
K1 0.0000 0.0000 0.0000
Lu1 0.0000 0.0000 0.5000
S1 0.0000 0.0000 0.2326
# - Formation energy from raw total energies: -1.880 eV per atom
# - DOS at the Fermi energy: 0.00 states/eV/f.u.

=====

# PBE KMg4, optimized geometry
data_KMg4
_cell_length_a 7.395
_cell_length_b 7.395
_cell_length_c 5.315
_cell_angle_alpha 90.00
_cell_angle_beta 90.00
_cell_angle_gamma 90.00
_space_group_name_H-M_alt 'I 4/m'
_space_group_IT_number 87
_space_group_name_Hall '-I 4'
loop_
_atom_site_label
_atom_site_fract_x
_atom_site_fract_y
_atom_site_fract_z
K1 0.000 0.000 0.000
Mg1 0.054 0.305 0.500
# - ΔH_f (0 K): 18.1 kJ/mol of atoms
# - DOS at the Fermi energy: 2.23 states/eV/f.u.

=====

# PBE KMg2, optimized geometry
data_KMg2
_cell_length_a 10.407
_cell_length_b 8.964
_cell_length_c 5.467
_cell_angle_alpha 90.00
_cell_angle_beta 121.10
_cell_angle_gamma 90.00
_space_group_name_H-M_alt 'C 1 2/m 1'
_space_group_IT_number 12
loop_
_space_group_symop_operation_xyz
'x,y,z'
'-x,-y,-z'
'-x,y,-z'
'x,-y,z'
'x+1/2,y+1/2,z'
'-x+1/2,-y+1/2,-z'
'-x+1/2,y+1/2,-z'
'x+1/2,-y+1/2,z'
loop_
_atom_site_label
_atom_site_fract_x
_atom_site_fract_y
_atom_site_fract_z
K1 0.182 0.000 0.434
Mg1 0.087 0.324 0.836
# - ΔH_f (0 K): 18.7 kJ/mol of atoms
# - DOS at the Fermi energy: 1.81 states/eV/f.u.

=====

# PBE K3Mg, optimized geometry
data_K3Mg
_cell_length_a 9.067
_cell_length_b 9.019
_cell_length_c 6.906
_cell_angle_alpha 90.00
_cell_angle_beta 130.86
_cell_angle_gamma 90.00
_space_group_name_H-M_alt 'C 1 2/m 1'
_space_group_IT_number 12
loop_
_space_group_symop_operation_xyz
'x,y,z'
'-x,-y,-z'
'-x,y,-z'
'x,-y,z'
'x+1/2,y+1/2,z'
'-x+1/2,-y+1/2,-z'
'-x+1/2,y+1/2,-z'
'x+1/2,-y+1/2,z'
loop_
_atom_site_label
_atom_site_fract_x
_atom_site_fract_y
_atom_site_fract_z
K1 0.000 0.000 0.000
K2 0.000 0.250 0.500
Mg1 0.000 0.500 0.000
# - ΔH_f (0 K): 14.1 kJ/mol of atoms
# - DOS at the Fermi energy: 2.84 states/eV/f.u.

=====

# PBE KMg2, optimized geometry
data_KMg2
_cell_length_a 3.4870
_cell_length_b 3.4870
_cell_length_c 9.1107
_cell_angle_alpha 90.00
_cell_angle_beta 90.00
_cell_angle_gamma 120.00
_space_group_name_H-M_alt 'P -3 m 1'
_space_group_IT_number 164
_space_group_name_Hall '-P 3 2"'
loop_
_atom_site_label
_atom_site_fract_x
_atom_site_fract_y
_atom_site_fract_z
K1 0.0000 0.0000 0.0000
Mg1 0.3333 0.6667 0.6406
# - ΔH_f (0 K): 24.3 kJ/mol of atoms
# - DOS at the Fermi energy: 1.26 states/eV/f.u.

=====

# PBE KMg2, optimized geometry
data_KMg2
_cell_length_a 9.288
_cell_length_b 4.756
_cell_length_c 11.172
_cell_angle_alpha 90.00
_cell_angle_beta 96.27
_cell_angle_gamma 90.00
_space_group_name_H-M_alt 'C 1 m 1'
_space_group_IT_number 8
loop_
_space_group_symop_operation_xyz
'x,y,z'
'x,-y,z'
'x+1/2,y+1/2,z'
'x+1/2,-y+1/2,z'
loop_
_atom_site_label
_atom_site_fract_x
_atom_site_fract_y
_atom_site_fract_z
K1 0.000 0.000 0.000
K2 0.163 0.500 0.668
Mg1 0.168 0.500 0.294
Mg2 0.322 0.000 0.466
Mg3 0.341 0.000 0.203
Mg4 0.495 0.500 0.373
# - ΔH_f (0 K): 15.1 kJ/mol of atoms
# - DOS at the Fermi energy: 1.71 states/eV/f.u.

=====

Number 1: V 30.59 A^3/atom. Number 2: V 19.09 A^3/atom. Number 3: V 25.07 A^3/atom. Number 4: V 29.07 A^3/atom. Number 5: V 36.39 A^3/atom. Number 6: V 53.39 A^3/atom. Number 7: V 31.98 A^3/atom. Number 8: V 40.88 A^3/atom.